Here is a PBEsol-optimized structure of TlHgPb2 from Alexandria. Energies are from meta-GGA SCAN.

The calculation puts the magnetization at 0.00 μB per atom. Its crystal system is cubic. Its calculated formation energy is -0.003 eV per atom. The mass density comes out at 12.235 g cm⁻³.

Structure (POSCAR):
```
TlHgPb2
1.0
7.634 0.000 0.000
0.000 7.634 0.000
0.000 0.000 7.634
Tl Hg Pb
4 4 8
direct
0.000 0.000 0.000
0.000 0.500 0.500
0.500 0.000 0.500
0.500 0.500 0.000
0.250 0.250 0.750
0.250 0.750 0.250
0.750 0.250 0.250
0.750 0.750 0.750
0.000 0.000 0.500
0.000 0.500 0.000
0.250 0.250 0.250
0.250 0.750 0.750
0.500 0.000 0.000
0.500 0.500 0.500
0.750 0.250 0.750
0.750 0.750 0.250
```